The following is a DFT calculation (GGA-PBE) of a relaxed Tl2Cd4Hg3 crystal.

Output
V   235.4 Å³/cell
Distance to the lowest polymorph of the same formula   18 meV per atom
Uncorrected energy   -0.9927 eV/atom
ΔE_f   0.364 eV per formula unit

Structure (POSCAR):
```
Tl2Cd4Hg3
1.0
5.218 0.000 0.002
2.609 4.516 0.183
-0.004 -0.408 9.973
Cd Tl Hg
4 2 3
Direct
0.667 0.667 0.903
0.000 0.000 0.343
0.000 0.000 0.657
0.333 0.333 0.097
0.667 0.667 0.231
0.333 0.333 0.769
0.333 0.333 0.426
0.667 0.667 0.574
0.000 0.000 0.000
```